No. 1
Li2MgAgH GGA-PBE optimized geometry; calculated density = 3.423 g/cm3; relative energy among the computed polymorphs = 0.46 eV per formula unit; density of states at the Fermi level = 1.715 states/eV/cell
1.0
4.069 0.000 0.000
0.000 4.069 0.000
0.000 0.000 4.309
Li Mg Ag H
2 1 1 1
Direct
0.000 0.500 0.000
0.500 0.000 0.000
0.000 0.000 0.500
0.500 0.500 0.500
0.500 0.500 0.000


No. 2
LiMg2AgH GGA-PBE optimized geometry; calculated density = 3.663 g/cm3; total DFT energy (no corrections) = -2.45 eV per atom; density of states at the Fermi level = 0.633 states/eV/cell
1.0
4.629 0.000 0.000
0.000 4.629 0.000
0.000 0.000 3.478
Li Mg Ag H
1 2 1 1
Direct
0.000 0.000 0.000
0.000 0.500 0.500
0.500 0.000 0.500
0.500 0.500 0.000
0.000 0.000 0.500


No. 3
LiMgAg2H GGA-PBE optimized geometry; calculated density = 5.734 g/cm3; total DFT energy (no corrections) = -2.57 eV per atom; density of states at the Fermi level = 0.978 states/eV/cell
1.0
4.365 0.000 0.000
0.000 4.365 0.000
0.000 0.000 3.769
Li Mg Ag H
1 1 2 1
Direct
0.000 0.000 0.000
0.500 0.500 0.000
0.000 0.500 0.500
0.500 0.000 0.500
0.000 0.000 0.500


No. 4
Li2MgAgH GGA-PBE optimized geometry; calculated density = 3.478 g/cm3; relative energy among the computed polymorphs = 0.00 eV per formula unit; density of states at the Fermi level = 1.739 states/eV/cell
1.0
4.019 0.000 0.000
0.000 4.019 0.000
0.000 0.000 4.346
Li Mg Ag H
2 1 1 1
Direct
0.000 0.500 0.000
0.500 0.000 0.000
0.000 0.000 0.500
0.500 0.500 0.500
0.000 0.000 0.000


No. 5
Li6Ag2HN GGA-PBE optimized geometry; calculated density = 3.318 g/cm3; total DFT energy (no corrections) = -3.09 eV per atom; density of states at the Fermi level = 0.589 states/eV/cell
1.0
4.071 -4.069 0.000
4.071 4.069 0.000
-4.067 0.000 4.114
Li Ag H N
6 2 1 1
Direct
0.239 0.239 0.476
0.240 0.240 0.000
0.241 0.759 0.000
0.759 0.241 0.000
0.760 0.760 0.000
0.761 0.761 0.524
0.250 0.750 0.500
0.750 0.250 0.500
0.500 0.500 0.000
0.000 0.000 0.000


No. 6
Na2LiAgH4 GGA-PBE optimized geometry; calculated density = 2.789 g/cm3; total DFT energy (no corrections) = -2.66 eV per atom; density of states at the Fermi level = 0.000 states/eV/cell
1.0
-2.993 2.993 2.739
2.993 -2.993 2.739
2.993 2.993 -2.739
Na Li Ag H
2 1 1 4
Direct
0.000 0.500 0.500
0.500 0.000 0.500
0.000 0.000 0.000
0.500 0.500 0.000
0.103 0.103 0.679
0.424 0.424 0.321
0.576 0.897 0.000
0.897 0.576 0.000


No. 7
NaLiAgH3 GGA-PBE optimized geometry; calculated density = 3.335 g/cm3; total DFT energy (no corrections) = -2.81 eV per atom; density of states at the Fermi level = 0.000 states/eV/cell
1.0
5.715 0.000 0.000
0.000 3.063 0.000
-1.931 0.000 8.012
Na Li Ag H
2 2 2 6
Direct
0.230 0.250 0.227
0.770 0.750 0.773
0.195 0.750 0.587
0.805 0.250 0.413
0.314 0.250 0.862
0.686 0.750 0.138
0.040 0.750 0.362
0.229 0.750 0.966
0.437 0.250 0.672
0.563 0.750 0.328
0.771 0.250 0.034
0.960 0.250 0.638


No. 8
NaLi2AgH GGA-PBE optimized geometry; calculated density = 3.050 g/cm3; total DFT energy (no corrections) = -2.37 eV per atom; density of states at the Fermi level = 1.447 states/eV/cell
1.0
4.185 0.000 0.000
0.000 4.185 0.000
0.000 0.000 4.530
Na Li Ag H
1 2 1 1
Direct
0.000 0.000 0.000
0.000 0.500 0.500
0.500 0.000 0.500
0.500 0.500 0.000
0.000 0.000 0.500